Entry 1:
Here is a relaxed CaPm7Ho4 crystal from Alexandria. Energies are from PBE.

**Final energy**: -4.4399 eV per atom
**Space group**: P-1, No. 2

a b c (Å): 7.308 9.663 9.003
angles (deg): 81.05 89.83 40.90
Fractional positions:
Ca 0.000 0.000 0.000
Pm 0.758 0.501 0.002
Pm 0.242 0.499 0.998
Pm 0.971 0.284 0.661
Pm 0.029 0.716 0.339
Pm 0.225 0.775 0.659
Pm 0.500 0.000 0.000
Pm 0.775 0.225 0.341
Ho 0.537 0.719 0.337
Ho 0.463 0.281 0.663
Ho 0.719 0.781 0.667
Ho 0.281 0.219 0.333

***

Entry 2:
Here is a relaxed CaPm12Ho7 crystal from Alexandria. Energies are from PBE.

**Final energy**: -3.9080 eV per atom
**Space group**: Im-3, No. 204

a b c (Å): 10.035 10.035 10.035
angles (deg): 109.47 109.47 109.47
Fractional positions:
Ca 0.000 0.000 0.000
Pm 0.479 0.739 0.740
Pm 0.998 0.739 0.260
Pm 0.521 0.261 0.260
Pm 0.002 0.261 0.740
Pm 0.740 0.002 0.261
Pm 0.740 0.479 0.739
Pm 0.260 0.998 0.739
Pm 0.260 0.521 0.261
Pm 0.739 0.740 0.479
Pm 0.261 0.260 0.521
Pm 0.739 0.260 0.998
Pm 0.261 0.740 0.002
Ho 0.500 0.500 0.000
Ho 0.000 0.500 0.500
Ho 0.500 0.000 0.500
Ho 0.500 0.500 0.500
Ho 0.000 0.000 0.500
Ho 0.500 0.000 0.000
Ho 0.000 0.500 0.000

***

Entry 3:
Here is a relaxed CaPm2Ho crystal from Alexandria. Energies are from PBE.

**ΔE to the lowest computed polymorph**: 88 meV/atom
**Space group**: Fm-3m, No. 225

a b c (Å): 5.817 5.817 5.817
angles (deg): 60.00 60.00 60.00
Fractional positions:
Ca 0.500 0.500 0.500
Ho 0.000 0.000 0.000
Pm 0.250 0.250 0.250
Pm 0.750 0.750 0.750

***

Entry 4:
Here is a relaxed Ca2Pm4Ho crystal from Alexandria. Energies are from PBE.

**ΔE to the lowest computed polymorph**: 0 meV/atom
**Space group**: Immm, No. 71

a b c (Å): 3.575 5.904 12.356
angles (deg): 103.84 98.32 90.00
Fractional positions:
Ca 0.279 0.279 0.558
Ca 0.721 0.721 0.442
Ho 0.000 0.000 0.000
Pm 0.080 0.580 0.159
Pm 0.920 0.420 0.841
Pm 0.371 0.871 0.742
Pm 0.629 0.129 0.258

***

Volume per entry: 33.72 38.89 34.79 35.77 Å³/atom